5
Lattice="-0.8324 -3.7624 -3.1659 3.4438 -2.7379 2.3484 -4.2036 -2.1489 3.6590" Properties=species:S:1:pos:R:3 comment="BaLiCdCu2 (PBEsol, relaxed)" space_group=P4/mmm delta_e_f_mev_per_atom=623 pbc="T T T"
Li -0.7961 -4.3246 1.4208
Ba -2.1018 -1.0745 1.8295
Cu 1.7219 -1.3690 1.1742
Cu -0.4162 -1.8812 -1.5829
Cd 0.0000 0.0000 0.0000

5
Lattice="5.5409 0.0000 0.0000 0.0000 6.7262 0.0000 0.0000 0.0000 6.7262" Properties=species:S:1:pos:R:3 comment="BaCd2CuS (PBEsol, relaxed)" space_group=P4/mmm raw_formation_energy_mev_per_atom=825 pbc="T T T"
S 2.7704 0.0000 0.0000
Ba 0.0000 0.0000 0.0000
Cu 2.7704 3.3631 3.3631
Cd 0.0000 0.0000 3.3631
Cd 0.0000 3.3631 0.0000

5
Lattice="5.2404 0.0000 0.0000 0.0000 6.0772 0.0000 0.0000 0.0000 6.0772" Properties=species:S:1:pos:R:3 comment="BaCd2CuSn (PBEsol, relaxed)" space_group=P4/mmm delta_e_f_mev_per_atom=1094 pbc="T T T"
Cd 0.0000 0.0000 3.0386
Cd 0.0000 3.0386 0.0000
Ba 0.0000 0.0000 0.0000
Cu 2.6202 0.0000 0.0000
Sn 2.6202 3.0386 3.0386

5
Lattice="-5.4934 -3.3050 -1.3099 2.1083 -4.9698 3.6975 -2.8625 2.6821 5.2372" Properties=species:S:1:pos:R:3 comment="Ba3CdF (PBEsol, relaxed)" space_group=Pm-3m raw_formation_energy_mev_per_atom=-371 pbc="T T T"
F -3.1238 -2.7963 3.8124
Ba 1.0541 -2.4849 1.8488
Ba -1.4312 1.3411 2.6186
Ba -2.7467 -1.6525 -0.6550
Cd 0.0000 0.0000 0.0000

5
Lattice="4.1165 0.0000 0.0000 0.0000 5.6102 0.0000 0.0000 0.0000 5.6102" Properties=species:S:1:pos:R:3 comment="Ba2CdNiF (PBEsol, relaxed)" space_group=P4/mmm raw_formation_energy_mev_per_atom=-751 pbc="T T T"
Ni 2.0582 0.0000 0.0000
F 0.0000 0.0000 0.0000
Ba 0.0000 0.0000 2.8051
Ba 0.0000 2.8051 0.0000
Cd 2.0582 2.8051 2.8051

5
Lattice="-0.9292 -2.6230 3.9926 -4.3441 -3.0901 -3.0411 4.1742 -4.1445 -1.7514" Properties=species:S:1:pos:R:3 comment="RbBaCd2F (PBEsol, relaxed)" space_group=P4/mmm raw_formation_energy_mev_per_atom=-863 pbc="T T T"
F 0.0000 0.0000 0.0000
Ba -0.4646 -1.3115 1.9963
Rb -0.5495 -4.9289 -0.4000
Cd 2.0871 -2.0723 -0.8757
Cd -2.1721 -1.5451 -1.5206

5
Lattice="-3.1048 0.9285 3.4513 -3.5075 -1.6690 -2.7064 0.8211 -5.1860 2.1339" Properties=species:S:1:pos:R:3 comment="BaCdRhF2 (PBEsol, relaxed)" space_group=P4/mmm raw_formation_energy_mev_per_atom=-962 pbc="T T T"
F -1.7538 -0.8345 -1.3532
F -1.5524 0.4643 1.7256
Rh 0.4106 -2.5930 1.0670
Ba 0.0000 0.0000 0.0000
Cd -2.8956 -2.9633 1.4394

40
Lattice="5.3924 0.0000 0.0000 -2.6962 6.8957 0.0174 0.0000 -0.4436 15.0654" Properties=species:S:1:pos:R:3 comment="BaVCdF7 (PBEsol, relaxed)" space_group=C2/c raw_formation_energy_mev_per_atom=-2970 pbc="T T T"
Ba 0.2027 3.8780 13.1697
Ba 2.4936 2.5741 1.9131
Ba 2.8989 2.3523 9.4459
Ba -0.2027 4.0998 5.6369
V 2.6232 1.3288 13.1908
V 0.0730 5.1233 1.8920
V -0.0730 4.9015 9.4247
V 2.7692 1.5506 5.6581
Cd 0.0000 -0.2218 7.5327
Cd 0.0000 0.0000 0.0000
Cd 0.2188 -0.3327 11.2991
Cd 5.1736 -0.1109 3.7664
F 0.8802 5.3843 7.8021
F 1.8160 1.0678 7.2807
F 3.5764 0.8460 14.8134
F -0.8802 5.6061 0.2694
F 0.3040 3.0923 9.0159
F 2.3922 3.3598 6.0669
F 3.0002 3.1380 13.5996
F -0.3040 3.3141 1.4832
F 1.4773 1.8866 11.6987
F 1.2189 4.5655 3.3841
F -1.2189 4.3437 10.9168
F 3.9152 2.1084 4.1660
F 2.0197 -0.2120 9.8280
F 0.6765 6.6641 5.2548
F -0.6765 6.4423 12.7875
F 3.3727 0.0098 2.2953
F 1.4333 4.8565 10.6254
F 1.2629 1.5956 4.4574
F 4.1296 1.3738 11.9901
F -1.4333 5.0783 3.0927
F 1.0633 1.5026 14.3684
F 1.6329 4.9495 0.7144
F -1.6329 4.7277 8.2471
F 4.3291 1.7244 6.8357
F 0.6418 0.7220 1.9321
F 2.0544 5.7301 13.1507
F -2.0544 5.9520 5.6180
F 4.7506 0.5002 9.4648

4
Lattice="3.1186 0.0000 0.0000 0.0000 5.8799 -0.0013 0.0000 -2.7946 5.1733" Properties=species:S:1:pos:R:3 comment="BaCd2Fe (PBEsol, relaxed)" space_group=Cmmm delta_e_f_mev_per_atom=584 pbc="T T T"
Ba 1.5593 1.5427 2.5860
Cd 0.0000 2.9399 -0.0007
Cd 0.0000 -1.3973 2.5867
Fe 1.5593 0.0000 0.0000

5
Lattice="5.7465 0.0000 0.0000 0.0000 5.7465 0.0000 0.0000 0.0000 5.7465" Properties=species:S:1:pos:R:3 comment="Ba3CdFe (PBEsol, relaxed)" space_group=Pm-3m delta_e_f_mev_per_atom=351 relative_energy_mev_per_atom=0 pbc="T T T"
Fe 0.0000 0.0000 0.0000
Ba 0.0000 2.8733 0.0000
Ba 0.0000 0.0000 2.8733
Ba 2.8733 0.0000 0.0000
Cd 2.8733 2.8733 2.8733

6
Lattice="6.9576 0.0000 0.0000 3.4788 6.0254 0.0000 3.4788 2.0085 5.6808" Properties=species:S:1:pos:R:3 comment="Ba4CdFe (PBEsol, relaxed)" space_group=F-43m delta_e_f_mev_per_atom=893 pbc="T T T"
Ba 5.2148 3.0108 2.1289
Ba 6.9576 4.0169 4.9748
Ba 8.7003 3.0108 2.1289
Ba 6.9576 6.0293 2.1289
Cd 10.4363 6.0254 4.2606
Fe 0.0000 0.0000 0.0000

4
Lattice="-3.4880 -0.4016 -0.4745 0.2326 -3.3511 1.1264 -1.2479 2.3330 7.1983" Properties=species:S:1:pos:R:3 comment="BaCd2Fe (PBEsol, relaxed)" space_group=P4mm delta_e_f_mev_per_atom=344 pbc="T T T"
Ba -2.5368 -0.1767 5.5701
Cd -0.0766 0.1432 0.4419
Cd -1.9852 -1.2080 2.3880
Fe -0.5286 0.9883 3.0494

4
Lattice="4.8845 0.0000 0.0000 2.4423 4.5029 0.0213 2.4423 0.8319 4.4254" Properties=species:S:1:pos:R:3 comment="BaCdFe2 (PBEsol, relaxed)" space_group=Immm delta_e_f_mev_per_atom=763 pbc="T T T"
Ba 2.4423 2.6674 2.2234
Cd 2.4423 0.0000 0.0000
Fe 4.8845 4.4954 3.7471
Fe 4.8845 0.8394 0.6997

4
Lattice="-2.4824 0.0620 1.8929 2.0025 -3.9477 2.7554 2.6352 5.2743 0.7080" Properties=species:S:1:pos:R:3 comment="BaCdFe2 (PBEsol, relaxed)" space_group=Imm2 delta_e_f_mev_per_atom=637 pbc="T T T"
Ba 2.3274 3.2370 2.9462
Cd 2.3689 -0.0717 3.1089
Fe 0.1590 0.2211 0.2012
Fe -0.3046 1.3336 2.1321

5
Lattice="4.0791 0.0000 0.0000 0.0000 4.0791 0.0000 -2.0396 -2.0396 10.0055" Properties=species:S:1:pos:R:3 comment="Ba2Cd2Ga (PBEsol, relaxed)" space_group=I4/mmm delta_e_f_mev_per_atom=-167 pbc="T T T"
Ba 0.0000 0.0000 8.0873
Ba 2.0395 2.0395 1.9182
Ga 0.0000 0.0000 0.0000
Cd 0.0000 2.0396 5.0027
Cd 2.0396 0.0000 5.0027

5
Lattice="5.0925 0.0000 0.0000 0.0000 5.0925 0.0000 0.0000 0.0000 6.1290" Properties=species:S:1:pos:R:3 comment="BaCd2GaGe (PBEsol, relaxed)" space_group=P4/mmm delta_e_f_mev_per_atom=214 pbc="T T T"
Ge 0.0000 0.0000 0.0000
Ba 0.0000 0.0000 3.0645
Ga 2.5462 2.5462 3.0645
Cd 0.0000 2.5462 0.0000
Cd 2.5462 0.0000 0.0000

5
Lattice="5.8343 0.0000 0.0000 0.0000 5.7267 0.0000 0.0000 0.0000 5.7267" Properties=species:S:1:pos:R:3 comment="BaCd2GaI (PBEsol, relaxed)" space_group=P4/mmm raw_formation_energy_mev_per_atom=315 pbc="T T T"
I 0.0000 0.0000 0.0000
Ba 2.9172 2.8633 2.8633
Ga 2.9172 0.0000 0.0000
Cd 0.0000 0.0000 2.8633
Cd 0.0000 2.8633 0.0000

5
Lattice="4.8216 0.0000 0.0000 0.0000 5.7444 0.0000 0.0000 0.0000 5.7444" Properties=species:S:1:pos:R:3 comment="Ba2CdGaRu (PBEsol, relaxed)" space_group=P4/mmm delta_e_f_mev_per_atom=45 pbc="T T T"
Ru 0.0000 0.0000 0.0000
Ba 0.0000 0.0000 2.8722
Ba 0.0000 2.8722 0.0000
Ga 2.4108 0.0000 0.0000
Cd 2.4108 2.8722 2.8722

10
Lattice="-3.2103 3.9325 0.0851 -5.7315 -4.7150 1.6714 1.3736 0.9608 7.4206" Properties=species:S:1:pos:R:3 comment="Ba2CdGe2 (PBEsol, relaxed)" space_group=P4/mbm delta_e_f_mev_per_atom=-406 pbc="T T T"
Ge -0.9676 -0.9449 7.1621
Ge -4.1896 -3.5516 6.0737
Ge -3.3902 -2.8093 1.9300
Ge -0.1683 -0.2027 3.0184
Ba -1.6771 1.7930 5.3359
Ba -4.3343 -0.4187 7.2979
Ba -5.8911 -1.6147 3.8413
Ba -3.2338 0.5970 1.8793
Cd 0.0000 0.0000 0.0000
Cd -2.1789 -1.8771 4.5460

52
Lattice="10.7543 0.0000 0.0000 0.0000 10.7824 0.0029 0.0000 -0.0007 10.7824" Properties=species:S:1:pos:R:3 comment="Ba2CdGe10 (PBEsol, relaxed)" space_group=Ama2 delta_e_f_mev_per_atom=-276 pbc="T T T"
Ba 2.6886 5.4121 10.7630
Ba 8.0657 10.7612 5.4156
Ba 2.6886 8.1482 5.5093
Ba 8.0657 5.5066 8.1501
Ba 5.3771 10.7593 10.7629
Ba 2.6886 2.6385 5.4241
Ba 8.0657 5.4233 2.6403
Ba 0.0000 10.7593 10.7629
Cd 5.3771 5.4009 5.4027
Cd 8.0657 2.6952 10.7631
Cd 2.6886 10.7622 2.6988
Cd 0.0000 5.4009 5.4027
Ge 3.9273 5.3971 7.5537
Ge 6.2356 6.7739 10.7673
Ge 2.6886 8.9420 9.3936
Ge 1.4497 5.4127 3.2500
Ge 10.1931 4.2338 10.7653
Ge 2.6886 2.1062 1.1473
Ge 3.9274 5.4127 3.2500
Ge 5.9384 4.2338 10.7653
Ge 1.4499 5.3971 7.5537
Ge 9.8959 6.7739 10.7673
Ge 2.6886 8.6545 1.1330
Ge 2.6886 1.8003 9.4001
Ge 9.3044 7.5519 5.3996
Ge 0.8584 10.7650 6.7774
Ge 8.0657 9.3906 8.9452
Ge 6.8269 3.2482 5.4137
Ge 4.8159 10.7639 4.2374
Ge 8.0657 1.1466 2.1066
Ge 9.3046 3.2482 5.4137
Ge 0.5612 10.7639 4.2374
Ge 6.8270 7.5519 5.3996
Ge 4.5187 10.7650 6.7774
Ge 8.0657 1.1301 8.6548
Ge 8.0657 9.3995 1.8034
Ge 4.6623 7.4170 8.8704
Ge 0.7179 3.4091 1.9582
Ge 4.6593 3.4091 1.9582
Ge 0.7148 7.4170 8.8704
Ge 0.6654 7.3765 1.9081
Ge 4.6112 3.3515 8.8293
Ge 0.7659 3.3515 8.8293
Ge 4.7117 7.3765 1.9081
Ge 10.0395 8.8680 7.4200
Ge 6.0950 1.9571 3.4098
Ge 10.0364 1.9571 3.4098
Ge 6.0920 8.8680 7.4200
Ge 6.0426 1.9057 7.3772
Ge 9.9884 8.8282 3.3544
Ge 6.1431 8.8282 3.3544
Ge 10.0889 1.9057 7.3772

24
Lattice="-3.4037 -1.0496 4.2187 3.6176 -7.7971 0.9789 5.7716 3.3676 5.4943" Properties=species:S:1:pos:R:3 comment="Ba2CdGe2O7 (PBEsol, relaxed)" space_group=P-42_1m raw_formation_energy_mev_per_atom=-2105 pbc="T T T"
Ba 0.8057 -0.6892 4.1405
Ba 5.1337 -4.8041 6.6085
Ba 1.6783 -5.1467 3.6377
Ba 4.3532 -0.3182 6.9972
Cd 0.0000 0.0000 0.0000
Cd 4.6946 -2.2147 3.2366
Ge 4.0532 -3.0628 9.3673
Ge -1.1258 -3.3593 5.1150
Ge 4.0043 1.0213 3.8517
Ge 5.0392 -5.5574 3.0499
O 2.3119 1.5068 3.4585
O -1.0210 -4.7712 3.9969
O 6.3873 -2.3632 6.4604
O 1.2166 -2.6168 2.2255
O 1.6841 0.2917 6.7623
O 2.6829 -6.2699 5.9356
O 4.2041 1.8838 5.3838
O 3.7501 -6.7558 2.8681
O -1.5314 -2.0942 3.9461
O 0.5986 -3.0991 5.4147
O 5.5482 -3.9919 9.1859
O 3.4182 -2.9871 7.7174
O 3.7154 -0.6490 4.3594
O 4.2387 -4.2230 3.8925

Number 1: electronic total energy -2.17 eV/atom. Number 2: electronic total energy -1.83 eV/atom. Number 3: electronic total energy -1.53 eV/atom. Number 4: electronic total energy -2.29 eV/atom. Number 5: electronic total energy -3.47 eV/atom. Number 6: electronic total energy -2.36 eV/atom. Number 7: electronic total energy -4.03 eV/atom. Number 8: electronic total energy -5.62 eV/atom. Number 9: electronic total energy -2.79 eV/atom. Number 10: electronic total energy -2.97 eV/atom. Number 11: electronic total energy -2.23 eV/atom. Number 12: electronic total energy -3.03 eV/atom. Number 13: electronic total energy -4.56 eV/atom. Number 14: electronic total energy -4.68 eV/atom. Number 15: electronic total energy -2.17 eV/atom. Number 16: electronic total energy -2.35 eV/atom. Number 17: electronic total energy -1.62 eV/atom. Number 18: electronic total energy -3.76 eV/atom. Number 19: electronic total energy -3.48 eV/atom. Number 20: electronic total energy -4.50 eV/atom. Number 21: electronic total energy -6.45 eV/atom.